A geometry-optimized BaCrSeN2 structure. Source: Alexandria via LeMat-Bulk, functional PBE-GGA.

Unit cell a=4.088 b=4.088 c=4.962 alpha=90.00 beta=90.00 gamma=90.00
Sites, in units of the cell vectors:
Ba: 0.000 0.000 0.000
Cr: 0.500 0.500 0.500
Se: 0.500 0.500 0.000
N: 0.000 0.500 0.500
N: 0.500 0.000 0.500

Summary:
DOS(E_F)	0.635	states/eV per atom
final energy	-6.29	eV/atom
symmetry	P4/mmm, No. 123
crystal system	tetragonal
ΔE_f (raw)	51	meV/atom
distance to the lowest polymorph of the same formula	0.000	eV per atom

=====

A geometry-optimized BaSmCrN4 structure. Source: Alexandria via LeMat-Bulk, functional PBE-GGA.

Unit cell a=5.871 b=5.738 c=7.477 alpha=90.00 beta=106.93 gamma=90.00
Sites, in units of the cell vectors:
Ba: 0.215 0.250 0.424
Ba: 0.785 0.750 0.576
Sm: 0.283 0.250 0.948
Sm: 0.717 0.750 0.052
Cr: 0.263 0.750 0.175
Cr: 0.737 0.250 0.825
N: 0.078 0.750 0.321
N: 0.081 0.750 0.949
N: 0.454 0.512 0.204
N: 0.454 0.988 0.204
N: 0.546 0.012 0.796
N: 0.546 0.488 0.796
N: 0.919 0.250 0.051
N: 0.922 0.250 0.679

Summary:
DOS(E_F)	0.397	states/eV per atom
final energy	-7.83	eV/atom
symmetry	P2_1/m, No. 11
crystal system	monoclinic
ΔE_f (raw)	-749	meV/atom

=====

A geometry-optimized Ba2SmCrN4 structure. Source: Alexandria via LeMat-Bulk, functional PBE-GGA.

Unit cell a=12.405 b=11.339 c=6.501 alpha=83.40 beta=65.23 gamma=31.37
Sites, in units of the cell vectors:
Ba: 0.062 0.062 0.688
Ba: 0.312 0.312 0.938
Ba: 0.688 0.688 0.062
Ba: 0.938 0.938 0.312
Sm: 0.125 0.125 0.125
Sm: 0.875 0.875 0.875
Cr: 0.375 0.375 0.375
Cr: 0.625 0.625 0.625
N: 0.054 0.615 0.512
N: 0.319 0.512 0.615
N: 0.385 0.946 0.681
N: 0.488 0.681 0.946
N: 0.512 0.319 0.054
N: 0.615 0.054 0.319
N: 0.681 0.488 0.385
N: 0.946 0.385 0.488

Summary:
DOS(E_F)	0.470	states/eV per atom
final energy	-6.84	eV/atom
symmetry	Fddd, No. 70
crystal system	orthorhombic
ΔE_f (raw)	-403	meV/atom